(1)
SrCd | GGA-PBE | relaxed

Lattice parameters (Å, degrees): 12.5681 3.8654 5.8788 90.00 109.17 90.00
Last column: nearest neighbours and their distance in Å.
Space group C2/m (No. 12)
Inequivalent atoms, fractional coordinates:
Sr1 0.1011 0.0000 0.3208 (multiplicity 4)  7 Cd 3.56-3.59, 4 Sr 3.79-3.87
Cd1 0.1519 0.5000 0.8592 (multiplicity 4)  2 Cd 3.14

Properties
The formation enthalpy at 0 K is -256 meV per atom.

***

(2)
OsCl12F6 | GGA-PBE | relaxed

Lattice parameters (Å, degrees): 6.9952 6.9952 40.6112 90.00 90.00 120.00
Last column: nearest neighbours and their distance in Å.
Space group R-3 (No. 148, hexagonal axes)
Inequivalent atoms, fractional coordinates:
Os1 0.0000 0.0000 0.0000 (multiplicity 3)  6 Cl 2.29
Cl1 0.0333 0.5829 0.6991 (multiplicity 18)  1 Os 2.29
Cl2 0.0702 0.8387 0.4535 (multiplicity 18)  1 F 1.71
F1 0.0260 0.4388 0.5464 (multiplicity 18)  1 Cl 1.71

Properties
The formation energy (no corrections) is -0.356 eV/atom.

***

(3)
RbRuRh | GGA-PBE | relaxed

Lattice parameters (Å, degrees): 3.8516 3.9204 12.1237 99.19 90.01 90.00
Last column: nearest neighbours and their distance in Å.
Space group P1 (No. 1)
Inequivalent atoms, fractional coordinates:
Rb1 0.0000 0.0000 0.0000 (multiplicity 1)  2 Rh 3.44-3.45, 2 Ru 3.56-3.57, 2 Rb 3.85
Rb2 0.5005 0.3093 0.6268 (multiplicity 1)  2 Rh 3.44-3.45, 2 Ru 3.56-3.57, 2 Rb 3.85
Ru1 0.4986 0.1220 0.2504 (multiplicity 1)  2 Ru 2.45, 2 Rh 2.58
Ru2 0.9986 0.1844 0.3764 (multiplicity 1)  2 Ru 2.45, 2 Rh 2.58
Rh1 0.4984 0.6912 0.3902 (multiplicity 1)  6 Ru 2.58-2.75, 2 Rh 2.66
Rh2 0.9984 0.6153 0.2365 (multiplicity 1)  6 Ru 2.58-2.75, 2 Rh 2.66

Properties
The energy above the most stable polymorph in this dataset is 1.32 kcal/mol of atoms. The formation enthalpy at 0 K is 545 meV per atom.

***

(4)
Pm2Cd3Hg4 | GGA-PBE | relaxed

Lattice parameters (Å, degrees): 6.1489 16.0994 9.2055 90.00 90.00 90.00
Last column: nearest neighbours and their distance in Å.
Space group Cmce (No. 64)
Inequivalent atoms, fractional coordinates:
Pm1 0.0000 0.1119 0.0719 (multiplicity 8)  7 Hg 3.30-3.54, 4 Cd 3.52-3.62
Cd1 0.0000 0.0000 0.5000 (multiplicity 4)  6 Hg 2.84-2.97
Cd2 0.2500 0.2199 0.7500 (multiplicity 8)  5 Hg 2.92-3.08, 2 Cd 3.07
Hg1 0.0000 0.1832 0.4675 (multiplicity 8)  5 Cd 2.97-3.08, 2 Pm 3.30
Hg2 0.2500 0.0387 0.7500 (multiplicity 8)  3 Cd 2.84-2.92, 2 Hg 3.07

Properties
The energy above the most stable polymorph in this dataset is 1.95 kcal/mol of atoms. The formation enthalpy at 0 K is -246 meV per atom.

***

(5)
Pm4P2F | GGA-PBE | relaxed

Lattice parameters (Å, degrees): 4.6041 4.6041 15.4998 90.00 90.00 90.00
Last column: nearest neighbours and their distance in Å.
Space group I4/mmm (No. 139)
Inequivalent atoms, fractional coordinates:
Pm1 0.0000 0.0000 0.1814 (multiplicity 4)  1 F 2.81, 1 P 2.89
Pm2 0.0000 0.5000 0.0000 (multiplicity 4)  2 F 2.30
P1 0.0000 0.0000 0.3682 (multiplicity 4)  5 Pm 2.89-3.08
F1 0.0000 0.0000 0.0000 (multiplicity 2)  4 Pm 2.30

Properties
The formation energy (no corrections) is -1.269 eV/atom.

***

(6)
TbPm9Sc2 | GGA-PBE | relaxed

Lattice parameters (Å, degrees): 5.0554 5.0554 15.1887 90.00 90.00 90.00
Last column: nearest neighbours and their distance in Å.
Space group P4/mmm (No. 123)
Inequivalent atoms, fractional coordinates:
Tb1 0.0000 0.0000 0.0000 (multiplicity 1)  12 Pm 3.57-3.63
Pm1 0.0000 0.5000 0.1713 (multiplicity 4)  2 Sc 3.55, 8 Pm 3.56-3.63, 2 Tb 3.63
Pm2 0.0000 0.5000 0.5000 (multiplicity 2)  8 Pm 3.55-3.57, 4 Sc 3.55
Pm3 0.5000 0.5000 0.0000 (multiplicity 1)  4 Tb 3.57, 8 Pm 3.63
Pm4 0.5000 0.5000 0.3361 (multiplicity 2)  8 Pm 3.55-3.56, 4 Sc 3.57
Sc1 0.0000 0.0000 0.3357 (multiplicity 2)  12 Pm 3.55-3.57

Properties
The formation enthalpy at 0 K is 32 meV per atom.

***

(7)
CoAuSe | GGA-PBE | relaxed

Lattice parameters (Å, degrees): 3.1962 3.1962 6.1366 90.00 90.00 120.00
Last column: nearest neighbours and their distance in Å.
Space group P3m1 (No. 156)
Inequivalent atoms, fractional coordinates:
Co1 0.0000 0.0000 0.0000 (multiplicity 1)  3 Se 2.25
Au1 0.6667 0.3333 0.3084 (multiplicity 1)  3 Co 2.64
Se1 0.3333 0.6667 0.7893 (multiplicity 1)  3 Co 2.25

Properties
The energy above the most stable polymorph in this dataset is 0.00 kcal/mol of atoms. The formation energy (no corrections) is 0.008 eV/atom.

***

(8)
AcLa5Ho4 | GGA-PBE | relaxed

Lattice parameters (Å, degrees): 3.7389 3.7389 25.3189 90.00 90.00 90.00
Last column: nearest neighbours and their distance in Å.
Space group P4/mmm (No. 123)
Inequivalent atoms, fractional coordinates:
Ac1 0.0000 0.0000 0.0000 (multiplicity 1)  4 Ac 3.74, 8 La 3.85
La1 0.5000 0.5000 0.1107 (multiplicity 2)  4 Ho 3.63, 4 La 3.74, 4 Ac 3.85
La2 0.5000 0.5000 0.3060 (multiplicity 2)  8 Ho 3.61, 4 La 3.74
La3 0.5000 0.5000 0.5000 (multiplicity 1)  8 Ho 3.61, 4 La 3.74
Ho1 0.0000 0.0000 0.2088 (multiplicity 2)  8 La 3.61-3.63, 4 Ho 3.74
Ho2 0.0000 0.0000 0.4028 (multiplicity 2)  8 La 3.61, 4 Ho 3.74

Properties
The formation enthalpy at 0 K is 30 meV per atom.